P) This record from the Alexandria database describes a relaxed structure of CeUPa2. The functional is PBE.

Cell lengths 4.6458, 4.6458, 4.5341 Å; angles 90.00, 90.00, 90.00 degrees
Space group P4/mmm (No. 123)
Unique sites:
Ce1 0.0000 0.0000 0.0000
U1 0.5000 0.5000 0.0000
Pa1 0.0000 0.5000 0.5000

Results
DOS(E_F): 11.6 states/eV per cell
magnetic moment: 0.342 μB/atom
calculated volume: 24.47 Å³ per atom

***

Q) This record from the Alexandria database describes a relaxed structure of CeUPa2. The functional is PBE.

Cell lengths 3.0800, 3.0800, 35.1012 Å; angles 90.00, 90.00, 120.00 degrees
Space group R-3m (No. 166, hexagonal axes)
Unique sites:
Ce1 0.0000 0.0000 0.0000
U1 0.0000 0.0000 0.5000
Pa1 0.0000 0.0000 0.0853

Results
DOS(E_F): 32.4 states/eV per cell
magnetic moment: 0.334 μB/atom
calculated volume: 24.03 Å³ per atom

***

Relative to the most stable structure, the computed energies are P) 0; Q) 56, all in meV/atom.

***

P) This record from the Alexandria database describes a relaxed structure of LaNiW2. The functional is PBE.

Cell lengths 4.9548, 7.0730, 4.6891 Å; angles 90.00, 90.00, 90.00 degrees
Space group Cmmm (No. 65)
Unique sites:
La1 0.0000 0.0000 0.0000
Ni1 0.0000 0.5000 0.0000
W1 0.0000 0.3270 0.5000

Results
DOS(E_F): 8.7 states/eV per cell
magnetic moment: 0.000 μB/atom
calculated volume: 20.54 Å³ per atom

***

Q) This record from the Alexandria database describes a relaxed structure of LaNiW2. The functional is PBE.

Cell lengths 2.8960, 2.8960, 29.6413 Å; angles 90.00, 90.00, 120.00 degrees
Space group R3m (No. 160, hexagonal axes)
Unique sites:
La1 0.0000 0.0000 0.0000
Ni1 0.0000 0.0000 0.2440
W1 0.0000 0.0000 0.5120
W2 0.0000 0.0000 0.7647

Results
DOS(E_F): 14.4 states/eV per cell
magnetic moment: 0.000 μB/atom
calculated volume: 17.94 Å³ per atom

***

Relative to the most stable structure, the computed energies are P) 0; Q) 91, all in meV/atom.